# 1
AcNd2Ge: relaxed, PBE-GGA.

```
AcNd2Ge
1.0
-1.535 -2.834 -2.635
2.264 -3.344 -1.010
-3.613 -6.930 6.270
Ac Nd Ge
1 2 1
Cartesian
-1.442 -6.554 1.313
-2.459 -10.204 2.543
-0.425 -2.904 0.083
0.000 0.000 0.000
```

Results
- Formation enthalpy at 0 K: -0.278 eV per atom
- Space-group type: R-3m
- Crystal system: trigonal
- Distance to the lowest polymorph of the same formula: 131 meV per atom
- Calculated total energy: -4.84 eV/atom

---

# 2
TlCo3Ir: relaxed, PBE-GGA.

```
TlCo3Ir
1.0
-2.304 3.823 1.260
-3.881 -1.725 -1.863
-1.067 -1.979 4.056
Tl Ir Co
1 1 3
Cartesian
0.000 0.000 0.000
-3.626 0.059 1.726
-1.940 -0.863 -0.931
-0.533 -0.990 2.028
-1.152 1.911 0.630
```

Results
- Formation enthalpy at 0 K: 2.180 eV per atom
- Space-group type: Pm-3m
- Crystal system: cubic
- Distance to the lowest polymorph of the same formula: 1024 meV per atom
- Calculated total energy: -4.33 eV/atom

---

# 3
K2TlSn2Te4: relaxed, PBE-GGA.

```
K2TlSn2Te4
1.0
-4.170 3.166 2.375
-3.475 -6.789 -4.011
1.254 -3.300 6.602
K Tl Sn Te
2 1 2 4
Cartesian
-5.568 -3.408 1.723
-0.823 -3.516 3.242
0.000 0.000 0.000
-2.723 -6.750 4.218
-3.669 -0.173 0.748
-4.331 -4.199 4.952
-2.061 -2.725 0.014
-4.925 -5.805 -0.911
-1.466 -1.119 5.876
```

Results
- Formation energy from raw total energies: -0.504 eV/atom
- Space-group type: C2/m
- Crystal system: monoclinic
- Calculated total energy: -3.30 eV/atom

---

# 4
Ba9S2Br14: relaxed, PBE-GGA.

```
Ba9S2Br14
1.0
-1.040 -0.648 9.437
1.738 -7.816 -5.143
12.987 1.862 1.559
Ba S Br
9 2 14
Cartesian
5.738 -6.909 -1.521
4.965 -2.180 -0.733
1.254 -5.363 -0.230
0.000 0.000 0.000
8.720 -1.308 2.860
4.964 -5.294 2.993
12.431 -1.239 6.083
8.720 -4.422 6.586
7.947 0.307 7.374
4.190 -4.942 0.123
9.495 -1.659 5.731
12.945 -3.637 -1.769
9.003 -6.408 -0.892
8.304 -1.923 -0.425
3.306 0.474 0.397
9.681 1.388 1.162
12.079 -1.279 2.628
12.808 -6.289 2.542
5.432 -1.968 2.609
8.252 -4.634 3.244
0.877 -0.313 3.311
1.606 -5.323 3.226
5.381 -4.679 6.279
4.682 -0.194 6.745
0.740 -2.965 7.622
```

Results
- Formation energy from raw total energies: -2.177 eV/atom
- Space-group type: P-3
- Crystal system: trigonal
- Calculated total energy: -4.14 eV/atom

---

# 5
MgCr2In: relaxed, PBE-GGA.

```
MgCr2In
1.0
-8.704 -2.646 2.524
-8.238 -4.608 0.185
-7.208 -5.302 3.012
Cr In Mg
2 1 1
Cartesian
-24.140 -12.550 5.718
-12.086 -6.283 2.863
-6.038 -3.139 1.430
-18.113 -9.417 4.291
```

Results
- Formation enthalpy at 0 K: 0.609 eV per atom
- Space-group type: R-3m
- Crystal system: trigonal
- Calculated total energy: -5.29 eV/atom

---

# 6
BaNiSe: relaxed, PBE-GGA.

```
BaNiSe
1.0
6.709 -0.800 0.821
4.951 3.257 -0.222
1.758 -0.939 4.082
Ba Ni Se
1 1 1
Cartesian
11.647 2.452 0.603
8.871 1.500 1.580
4.560 0.022 3.097
```

Results
- Formation energy from raw total energies: -0.465 eV/atom
- Space-group type: Fmm2
- Crystal system: orthorhombic
- Calculated total energy: -4.19 eV/atom

---

# 7
CaFe2As: relaxed, PBE-GGA.

```
CaFe2As
1.0
4.402 0.000 0.000
0.000 4.402 0.000
2.201 2.201 8.142
As Ca Fe
2 2 4
Cartesian
0.000 0.000 0.000
4.402 2.201 4.071
2.201 2.201 0.000
2.201 4.402 4.071
4.402 1.100 2.035
4.401 3.301 2.035
3.301 2.201 6.106
5.502 2.201 6.106
```

Results
- Formation enthalpy at 0 K: 0.209 eV per atom
- Space-group type: I4_1/amd
- Crystal system: tetragonal
- Calculated total energy: -5.68 eV/atom

---

# 8
NaSrSm2Se4: relaxed, PBE-GGA.

```
NaSrSm2Se4
1.0
4.233 0.000 0.000
0.000 7.534 -0.228
0.000 2.571 6.831
Na Sr Sm Se
1 1 2 4
Cartesian
0.000 5.052 3.301
2.117 3.767 -0.114
0.000 2.571 6.831
2.117 1.285 3.415
0.000 7.653 4.900
4.233 2.451 1.702
2.117 6.391 1.513
2.117 3.713 5.090
```

Results
- Formation energy from raw total energies: -1.811 eV/atom
- Space-group type: P2/m
- Crystal system: monoclinic
- Calculated total energy: -5.11 eV/atom

---

# 9
NaNd2YS4: relaxed, PBE-GGA.

```
NaNd2YS4
1.0
4.013 0.000 0.000
0.000 6.970 0.143
0.000 -2.428 6.536
Na Nd Y S
1 2 1 4
Cartesian
0.000 0.000 0.000
2.006 -1.214 3.268
0.000 2.271 3.340
2.006 3.485 0.072
2.006 1.175 1.637
2.006 3.366 5.042
0.000 -0.062 5.013
0.000 4.604 1.666
```

Results
- Formation energy from raw total energies: -1.910 eV/atom
- Space-group type: P2/m
- Crystal system: monoclinic
- Calculated total energy: -6.14 eV/atom

---

# 10
LiTm2Ga9: relaxed, PBE-GGA.

```
LiTm2Ga9
1.0
-3.195 -1.133 2.485
-1.970 -1.692 -3.305
5.601 -10.890 2.237
Li Tm Ga
1 2 9
Cartesian
0.000 0.000 0.000
1.820 -3.540 0.727
3.780 -7.350 1.510
-2.583 -1.413 -0.410
-0.705 -5.064 0.340
1.140 -8.651 1.077
-0.752 -2.211 1.580
1.203 -6.011 2.361
3.157 -9.812 3.141
-0.139 -2.491 -1.315
1.815 -6.291 -0.534
3.770 -10.091 0.246
```

Results
- Formation enthalpy at 0 K: -0.396 eV per atom
- Space-group type: P4/mmm
- Crystal system: tetragonal
- Calculated total energy: -3.57 eV/atom

---

# 11
ZrZnMo3: relaxed, PBE-GGA.

```
ZrZnMo3
1.0
4.603 0.000 0.000
0.000 4.603 0.000
0.000 0.000 4.603
Mo Zn Zr
3 1 1
Cartesian
0.000 2.302 0.000
0.000 0.000 2.302
2.302 0.000 0.000
0.000 0.000 0.000
2.302 2.302 2.302
```

Results
- Formation enthalpy at 0 K: 1.312 eV per atom
- Space-group type: Pm-3m
- Crystal system: cubic
- Distance to the lowest polymorph of the same formula: 0 meV per atom
- Calculated total energy: -7.15 eV/atom

---

# 12
SrZrPt2: relaxed, PBE-GGA.

```
SrZrPt2
1.0
4.137 -0.029 0.021
2.091 3.570 0.021
2.049 1.165 6.770
Pt Sr Zr
2 1 1
Cartesian
6.225 3.539 0.438
4.140 2.354 3.010
6.207 3.529 5.109
2.069 1.176 1.703
```

Results
- Formation enthalpy at 0 K: -0.760 eV per atom
- Space-group type: C2/m
- Crystal system: monoclinic
- Distance to the lowest polymorph of the same formula: 151 meV per atom
- Calculated total energy: -6.34 eV/atom

---

# 13
Ta5Ni3: relaxed, PBE-GGA.

```
Ta5Ni3
1.0
4.238 -3.371 0.000
4.238 3.371 0.000
0.000 0.000 4.352
Ta Ni
5 3
Cartesian
0.000 0.000 0.000
2.119 -1.686 0.000
2.119 1.686 0.000
6.025 0.000 2.176
2.451 0.000 2.176
4.238 0.000 0.000
4.238 -1.894 2.176
4.238 1.894 2.176
```

Results
- Formation enthalpy at 0 K: -0.054 eV per atom
- Space-group type: Cmmm
- Crystal system: orthorhombic
- Distance to the lowest polymorph of the same formula: 39 meV per atom
- Calculated total energy: -9.63 eV/atom

---

# 14
MgRe3F: relaxed, PBE-GGA.

```
MgRe3F
1.0
4.602 0.000 0.000
0.000 4.602 0.000
0.000 0.000 4.602
Re Mg F
3 1 1
Cartesian
0.000 2.301 0.000
0.000 0.000 2.301
2.301 0.000 0.000
0.000 0.000 0.000
2.301 2.301 2.301
```

Results
- Formation energy from raw total energies: 2.922 eV/atom
- Space-group type: Pm-3m
- Crystal system: cubic
- Distance to the lowest polymorph of the same formula: 1592 meV per atom
- Calculated total energy: -5.24 eV/atom

---

# 15
VTcAg2: relaxed, PBE-GGA.

```
VTcAg2
1.0
0.000 3.216 3.216
3.216 0.000 3.216
3.216 3.216 0.000
Tc Ag V
1 2 1
Cartesian
3.216 3.216 3.216
1.608 1.608 1.608
4.824 4.824 4.824
0.000 0.000 0.000
```

Results
- Formation enthalpy at 0 K: 0.726 eV per atom
- Space-group type: Fm-3m
- Crystal system: cubic
- Distance to the lowest polymorph of the same formula: 31 meV per atom
- Calculated total energy: -5.57 eV/atom

---

# 16
SrNi2Mo: relaxed, PBE-GGA.

```
SrNi2Mo
1.0
-9.319 1.351 0.369
-8.887 0.503 3.095
-8.514 3.273 2.368
Mo Ni Sr
1 2 1
Cartesian
-19.602 3.762 4.279
-26.640 5.113 5.815
-7.014 1.346 1.531
-13.546 2.600 2.957
```

Results
- Formation enthalpy at 0 K: 0.850 eV per atom
- Space-group type: R3m
- Crystal system: trigonal
- Distance to the lowest polymorph of the same formula: 684 meV per atom
- Calculated total energy: -5.17 eV/atom

---

# 17
CoHN: relaxed, PBE-GGA.

```
CoHN
1.0
-0.232 2.676 0.578
-0.810 -1.877 1.835
11.664 -0.082 5.064
Co H N
3 3 3
Cartesian
6.537 -0.046 2.838
2.032 -0.378 2.566
10.001 1.085 5.524
9.526 -0.067 4.136
5.020 -0.399 3.864
1.324 1.146 1.757
3.382 -0.024 1.468
10.540 -0.438 6.261
6.845 1.107 4.153
```

Results
- Space-group type: R3m
- Crystal system: trigonal
- Distance to the lowest polymorph of the same formula: 212 meV per atom
- Calculated total energy: -5.88 eV/atom

---

# 18
TlHg2SbTe4: relaxed, PBE-GGA.

```
TlHg2SbTe4
1.0
-1.851 7.008 2.413
-5.436 1.032 4.928
3.361 3.032 5.866
Tl Hg Sb Te
1 2 1 4
Cartesian
0.000 0.000 0.000
-0.996 2.578 3.841
-2.930 8.493 9.366
-1.963 5.536 6.604
0.180 4.882 4.610
-3.259 2.982 7.493
-4.019 7.328 5.357
-0.753 6.951 8.955
```

Results
- Formation energy from raw total energies: -0.071 eV/atom
- Space-group type: I222
- Crystal system: orthorhombic
- Calculated total energy: -2.53 eV/atom

---

# 19
LaRh: relaxed, PBE-GGA.

```
LaRh
1.0
9.580 0.000 0.000
0.000 9.580 0.000
0.000 0.000 4.351
La Rh
8 8
Cartesian
7.367 4.790 0.000
2.213 4.790 0.000
4.790 2.213 0.000
4.790 7.367 0.000
2.577 0.000 2.176
7.003 0.000 2.176
0.000 7.003 2.176
0.000 2.577 2.176
1.504 1.504 0.000
1.504 8.076 0.000
8.076 1.504 0.000
8.076 8.076 0.000
6.294 6.294 2.176
6.294 3.286 2.176
3.286 6.294 2.176
3.286 3.286 2.176
```

Results
- Formation enthalpy at 0 K: -0.529 eV per atom
- Space-group type: I4/mmm
- Crystal system: tetragonal
- Calculated total energy: -6.67 eV/atom

---

# 20
Y2Al: relaxed, PBE-GGA.

```
Y2Al
1.0
-3.693 -1.556 4.572
-4.201 -4.394 -0.067
5.817 1.530 -0.884
Y Al
2 1
Cartesian
-5.108 -3.850 2.915
-2.786 -2.100 1.590
0.000 0.000 0.000
```

Results
- Formation enthalpy at 0 K: -0.192 eV per atom
- Space-group type: Immm
- Crystal system: orthorhombic
- Calculated total energy: -5.75 eV/atom

---

# 21
Y3Hf5H12: relaxed, PBE-GGA.

```
Y3Hf5H12
1.0
-3.501 5.891 -8.082
6.997 -7.107 -3.580
-8.166 -5.039 4.496
Y Hf H
12 20 48
Cartesian
-1.023 1.123 -6.842
1.164 -0.805 -9.195
-1.169 -6.270 -2.906
-3.063 -1.305 -0.782
-4.230 3.007 -6.395
1.019 -3.492 -4.144
-5.689 -2.762 -3.022
-0.439 -9.261 -0.771
-1.607 -4.949 -6.384
-3.501 0.016 -4.260
-5.833 -5.449 2.029
-3.647 -7.378 -0.324
0.145 -3.188 -1.229
3.499 -3.553 -1.790
0.000 0.000 0.000
-0.584 -0.197 -3.364
-5.834 0.426 -1.793
1.748 -0.608 -5.831
1.748 -6.483 -2.009
-8.896 -0.879 -2.575
-1.315 -1.913 -6.613
-6.563 -2.458 -0.106
1.893 -3.796 -7.060
-2.335 -3.127 -3.583
-1.751 2.945 -4.041
-4.083 -2.519 2.248
-3.355 -4.341 -0.553
4.227 -5.375 -4.591
-0.584 -6.073 0.458
-6.418 0.229 -5.157
-4.085 -6.057 -3.803
-4.815 -3.066 -5.938
-1.963 2.935 -6.051
-0.675 -4.029 -2.866
-3.120 1.593 -7.646
-1.588 1.016 -4.620
-2.400 -5.039 -4.233
-0.520 0.582 -9.015
0.823 -5.720 -3.628
5.013 -6.780 -3.380
-0.843 -6.591 -5.155
0.193 -0.676 -7.119
-2.553 -0.351 -6.318
3.004 -1.824 -9.799
-0.015 -7.050 -1.217
1.028 -1.200 -4.038
3.203 -7.854 -2.260
-5.291 -1.459 -1.309
-0.897 -1.799 -0.207
2.359 -2.517 -5.575
1.224 -3.068 -8.815
1.770 -2.628 -2.279
-1.040 -8.556 -2.755
-1.040 -3.248 -5.129
-1.859 -3.377 -7.886
-7.934 -2.453 -3.385
-3.630 -3.006 -2.037
-2.810 -2.878 0.720
3.264 -3.801 -3.782
-5.894 -3.186 1.649
-3.630 2.302 -4.412
-6.440 -3.627 -4.887
-7.028 -3.737 -1.592
0.621 -4.795 -5.858
-3.773 -4.455 -6.960
-7.873 1.600 -4.907
-4.654 0.796 -5.950
-7.674 -4.430 2.633
-5.698 -5.055 -3.128
-3.827 0.337 -2.012
-4.863 -5.578 -0.047
-2.117 -5.903 -0.848
-9.683 0.526 -3.787
-5.493 -0.534 -3.538
-3.082 -7.271 -2.546
-4.150 -6.837 1.849
-2.269 -1.215 -2.934
-1.549 -7.848 0.479
-3.995 -2.225 -4.300
-2.707 -9.189 -1.116
```

Results
- Space-group type: Ia-3d
- Crystal system: cubic
- Calculated total energy: -5.89 eV/atom

---

# 22
SiHgSb2: relaxed, PBE-GGA.

```
SiHgSb2
1.0
-0.349 -0.746 3.133
-2.122 -1.732 -1.729
6.606 -7.133 -0.961
Hg Sb Si
1 2 1
Cartesian
3.549 -6.405 0.006
6.522 -7.042 -0.949
0.644 -3.268 0.428
3.330 -3.596 -0.484
```

Results
- Formation energy from raw total energies: 0.399 eV/atom
- Space-group type: Cmm2
- Crystal system: orthorhombic
- Calculated total energy: -3.09 eV/atom